[1]
Material: La2ErHg
Method: DFT, PBE
State: optimized geometry

Geometry as CIF:
```
data_La2ErHg
_chemical_formula_sum 'La2 Er1 Hg1'
_space_group_name_H-M_alt 'P 1'
_space_group_IT_number 1
_space_group_name_Hall 'P 1'
_cell_length_a 3.805
_cell_length_b 3.805
_cell_length_c 8.911
_cell_angle_alpha 90.00
_cell_angle_beta 90.00
_cell_angle_gamma 90.00
loop_
_atom_site_label
_atom_site_type_symbol
_atom_site_fract_x
_atom_site_fract_y
_atom_site_fract_z
Er1 Er 0.500 0.500 0.500
La1 La 0.000 0.000 0.228
La2 La 0.000 0.000 0.772
Hg1 Hg 0.500 0.500 0.000
```

Properties
DOS(E_F)   5.4 states/eV per cell
Symmetry   P4/mmm, No. 123
ΔE_f   -210 meV per atom
Energy relative to the lowest polymorph listed for this composition   28 meV per atom

[2]
Material: La2Er3Hg2
Method: DFT, PBE
State: optimized geometry

Geometry as CIF:
```
data_La2Er3Hg2
_chemical_formula_sum 'La2 Er3 Hg2'
_space_group_name_H-M_alt 'P 1'
_space_group_IT_number 1
_space_group_name_Hall 'P 1'
_cell_length_a 4.832
_cell_length_b 6.495
_cell_length_c 8.272
_cell_angle_alpha 113.87
_cell_angle_beta 90.00
_cell_angle_gamma 111.84
loop_
_atom_site_label
_atom_site_type_symbol
_atom_site_fract_x
_atom_site_fract_y
_atom_site_fract_z
Hg1 Hg 0.147 0.293 0.203
Hg2 Hg 0.853 0.707 0.797
La1 La 0.865 0.730 0.212
La2 La 0.135 0.270 0.788
Er1 Er 0.630 0.260 0.457
Er2 Er 0.370 0.740 0.543
Er3 Er 0.500 0.000 0.000
```

Properties
DOS(E_F)   9.7 states/eV per cell
Symmetry   C2/m, No. 12
ΔE_f   -214 meV per atom

[3]
Material: LaEr3Hg6
Method: DFT, PBE
State: optimized geometry

Geometry as CIF:
```
data_LaEr3Hg6
_chemical_formula_sum 'La2 Er6 Hg12'
_space_group_name_H-M_alt 'P 1'
_space_group_IT_number 1
_space_group_name_Hall 'P 1'
_cell_length_a 5.187
_cell_length_b 9.224
_cell_length_c 11.263
_cell_angle_alpha 107.15
_cell_angle_beta 90.00
_cell_angle_gamma 90.00
loop_
_atom_site_label
_atom_site_type_symbol
_atom_site_fract_x
_atom_site_fract_y
_atom_site_fract_z
Hg1 Hg 0.250 0.262 0.528
Hg2 Hg 0.250 0.464 0.096
Hg3 Hg 0.750 0.182 0.694
Hg4 Hg 0.250 0.063 0.915
Hg5 Hg 0.750 0.738 0.472
Hg6 Hg 0.250 0.146 0.209
Hg7 Hg 0.750 0.854 0.791
Hg8 Hg 0.750 0.536 0.904
Hg9 Hg 0.250 0.636 0.714
Hg10 Hg 0.750 0.937 0.085
Hg11 Hg 0.750 0.364 0.286
Hg12 Hg 0.250 0.818 0.306
Er1 Er 0.750 0.490 0.612
Er2 Er 0.750 0.232 0.001
Er3 Er 0.250 0.510 0.388
Er4 Er 0.750 0.648 0.190
Er5 Er 0.250 0.768 0.999
Er6 Er 0.250 0.352 0.810
La1 La 0.750 0.069 0.382
La2 La 0.250 0.931 0.618
```

Properties
DOS(E_F)   14.1 states/eV per cell
Symmetry   P2_1/m, No. 11
ΔE_f   -432 meV per atom

[4]
Material: LaErHg
Method: DFT, PBE
State: optimized geometry

Geometry as CIF:
```
data_LaErHg
_chemical_formula_sum 'La1 Er1 Hg1'
_space_group_name_H-M_alt 'P 1'
_space_group_IT_number 1
_space_group_name_Hall 'P 1'
_cell_length_a 3.721
_cell_length_b 3.721
_cell_length_c 6.979
_cell_angle_alpha 105.46
_cell_angle_beta 105.46
_cell_angle_gamma 90.00
loop_
_atom_site_label
_atom_site_type_symbol
_atom_site_fract_x
_atom_site_fract_y
_atom_site_fract_z
Hg1 Hg 0.681 0.681 0.362
La1 La 0.007 0.007 0.014
Er1 Er 0.312 0.312 0.623
```

Properties
DOS(E_F)   3.3 states/eV per cell
Symmetry   I4mm, No. 107
ΔE_f   -310 meV per atom
Energy relative to the lowest polymorph listed for this composition   25 meV per atom

[5]
Material: LaEr4Hg5
Method: DFT, PBE
State: optimized geometry

Geometry as CIF:
```
data_LaEr4Hg5
_chemical_formula_sum 'La1 Er4 Hg5'
_space_group_name_H-M_alt 'P 1'
_space_group_IT_number 1
_space_group_name_Hall 'P 1'
_cell_length_a 3.709
_cell_length_b 3.709
_cell_length_c 18.911
_cell_angle_alpha 90.00
_cell_angle_beta 90.00
_cell_angle_gamma 90.00
loop_
_atom_site_label
_atom_site_type_symbol
_atom_site_fract_x
_atom_site_fract_y
_atom_site_fract_z
Er1 Er 0.000 0.000 0.597
Er2 Er 0.000 0.000 0.791
Er3 Er 0.000 0.000 0.209
Er4 Er 0.000 0.000 0.403
Hg1 Hg 0.500 0.500 0.306
Hg2 Hg 0.500 0.500 0.884
Hg3 Hg 0.500 0.500 0.116
Hg4 Hg 0.500 0.500 0.500
Hg5 Hg 0.500 0.500 0.694
La1 La 0.000 0.000 0.000
```

Properties
DOS(E_F)   7.7 states/eV per cell
Symmetry   P4/mmm, No. 123
ΔE_f   -484 meV per atom

[6]
Material: LaErHg5
Method: DFT, PBE
State: optimized geometry

Geometry as CIF:
```
data_LaErHg5
_chemical_formula_sum 'La1 Er1 Hg5'
_space_group_name_H-M_alt 'P 1'
_space_group_IT_number 1
_space_group_name_Hall 'P 1'
_cell_length_a 5.449
_cell_length_b 5.448
_cell_length_c 6.962
_cell_angle_alpha 90.02
_cell_angle_beta 90.01
_cell_angle_gamma 109.37
loop_
_atom_site_label
_atom_site_type_symbol
_atom_site_fract_x
_atom_site_fract_y
_atom_site_fract_z
Hg1 Hg 0.000 0.500 0.251
Hg2 Hg 0.500 0.000 0.251
Hg3 Hg 0.500 0.000 0.749
Hg4 Hg 0.000 0.500 0.749
Hg5 Hg 0.000 0.000 0.500
La1 La 0.000 0.000 0.000
Er1 Er 0.500 0.500 0.500
```

Properties
DOS(E_F)   4.9 states/eV per cell
Symmetry   Cmmm, No. 65
ΔE_f   -275 meV per atom

[7]
Material: La2ErHg2
Method: DFT, PBE
State: optimized geometry

Geometry as CIF:
```
data_La2ErHg2
_chemical_formula_sum 'La4 Er2 Hg4'
_space_group_name_H-M_alt 'P 1'
_space_group_IT_number 1
_space_group_name_Hall 'P 1'
_cell_length_a 4.860
_cell_length_b 7.958
_cell_length_c 7.958
_cell_angle_alpha 90.00
_cell_angle_beta 90.00
_cell_angle_gamma 90.00
loop_
_atom_site_label
_atom_site_type_symbol
_atom_site_fract_x
_atom_site_fract_y
_atom_site_fract_z
La1 La 0.500 0.163 0.663
La2 La 0.500 0.337 0.163
La3 La 0.500 0.837 0.337
La4 La 0.500 0.663 0.837
Hg1 Hg 0.000 0.364 0.864
Hg2 Hg 0.000 0.636 0.136
Hg3 Hg 0.000 0.864 0.636
Hg4 Hg 0.000 0.136 0.364
Er1 Er 0.000 0.500 0.500
Er2 Er 0.000 0.000 0.000
```

Properties
DOS(E_F)   16.4 states/eV per cell
Symmetry   P4/mbm, No. 127
ΔE_f   -350 meV per atom
Energy relative to the lowest polymorph listed for this composition   4 meV per atom

[8]
Material: LaEr3Hg
Method: DFT, PBE
State: optimized geometry

Geometry as CIF:
```
data_LaEr3Hg
_chemical_formula_sum 'La2 Er6 Hg2'
_space_group_name_H-M_alt 'P 1'
_space_group_IT_number 1
_space_group_name_Hall 'P 1'
_cell_length_a 6.069
_cell_length_b 6.069
_cell_length_c 11.099
_cell_angle_alpha 105.87
_cell_angle_beta 105.87
_cell_angle_gamma 90.00
loop_
_atom_site_label
_atom_site_type_symbol
_atom_site_fract_x
_atom_site_fract_y
_atom_site_fract_z
La1 La 0.559 0.059 0.119
La2 La 0.941 0.441 0.881
Er1 Er 0.711 0.711 0.422
Er2 Er 0.127 0.876 0.254
Er3 Er 0.127 0.378 0.254
Er4 Er 0.622 0.873 0.746
Er5 Er 0.289 0.289 0.578
Er6 Er 0.124 0.873 0.746
Hg1 Hg 0.000 0.000 0.000
Hg2 Hg 0.250 0.750 0.500
```

Properties
DOS(E_F)   15.8 states/eV per cell
Symmetry   I-4m2, No. 119
ΔE_f   338 meV per atom

[9]
Material: LaEr4Hg
Method: DFT, PBE
State: optimized geometry

Geometry as CIF:
```
data_LaEr4Hg
_chemical_formula_sum 'La2 Er8 Hg2'
_space_group_name_H-M_alt 'P 1'
_space_group_IT_number 1
_space_group_name_Hall 'P 1'
_cell_length_a 6.331
_cell_length_b 8.978
_cell_length_c 8.222
_cell_angle_alpha 113.39
_cell_angle_beta 100.01
_cell_angle_gamma 112.75
loop_
_atom_site_label
_atom_site_type_symbol
_atom_site_fract_x
_atom_site_fract_y
_atom_site_fract_z
Hg1 Hg 0.750 0.000 0.999
Hg2 Hg 0.250 0.000 0.001
Er1 Er 0.234 0.603 0.764
Er2 Er 0.635 0.088 0.374
Er3 Er 0.766 0.397 0.236
Er4 Er 0.970 0.839 0.236
Er5 Er 0.030 0.161 0.764
Er6 Er 0.239 0.286 0.374
Er7 Er 0.365 0.912 0.626
Er8 Er 0.761 0.714 0.626
La1 La 0.347 0.597 0.194
La2 La 0.653 0.403 0.806
```

Properties
DOS(E_F)   16.4 states/eV per cell
Symmetry   C2/c, No. 15
ΔE_f   -46 meV per atom

[10]
Material: La4ErHg
Method: DFT, PBE
State: optimized geometry

Geometry as CIF:
```
data_La4ErHg
_chemical_formula_sum 'La4 Er1 Hg1'
_space_group_name_H-M_alt 'P 1'
_space_group_IT_number 1
_space_group_name_Hall 'P 1'
_cell_length_a 3.764
_cell_length_b 3.764
_cell_length_c 14.141
_cell_angle_alpha 90.00
_cell_angle_beta 90.00
_cell_angle_gamma 90.00
loop_
_atom_site_label
_atom_site_type_symbol
_atom_site_fract_x
_atom_site_fract_y
_atom_site_fract_z
La1 La 0.500 0.500 0.173
La2 La 0.000 0.000 0.353
La3 La 0.000 0.000 0.647
La4 La 0.500 0.500 0.827
Er1 Er 0.000 0.000 0.000
Hg1 Hg 0.500 0.500 0.500
```

Properties
DOS(E_F)   8.5 states/eV per cell
Symmetry   P4/mmm, No. 123
ΔE_f   -152 meV per atom

[11]
Material: La3ErHg4
Method: DFT, PBE
State: optimized geometry

Geometry as CIF:
```
data_La3ErHg4
_chemical_formula_sum 'La3 Er1 Hg4'
_space_group_name_H-M_alt 'P 1'
_space_group_IT_number 1
_space_group_name_Hall 'P 1'
_cell_length_a 3.809
_cell_length_b 3.809
_cell_length_c 15.786
_cell_angle_alpha 90.00
_cell_angle_beta 90.00
_cell_angle_gamma 90.00
loop_
_atom_site_label
_atom_site_type_symbol
_atom_site_fract_x
_atom_site_fract_y
_atom_site_fract_z
Hg1 Hg 0.000 0.000 0.892
Hg2 Hg 0.000 0.000 0.373
Hg3 Hg 0.000 0.000 0.627
Hg4 Hg 0.000 0.000 0.108
La1 La 0.500 0.500 0.242
La2 La 0.500 0.500 0.758
La3 La 0.500 0.500 0.500
Er1 Er 0.500 0.500 0.000
```

Properties
DOS(E_F)   9.3 states/eV per cell
Symmetry   P4/mmm, No. 123
ΔE_f   -489 meV per atom

[12]
Material: La4ErHg3
Method: DFT, PBE
State: optimized geometry

Geometry as CIF:
```
data_La4ErHg3
_chemical_formula_sum 'La4 Er1 Hg3'
_space_group_name_H-M_alt 'P 1'
_space_group_IT_number 1
_space_group_name_Hall 'P 1'
_cell_length_a 3.814
_cell_length_b 5.625
_cell_length_c 11.446
_cell_angle_alpha 90.00
_cell_angle_beta 90.00
_cell_angle_gamma 90.00
loop_
_atom_site_label
_atom_site_type_symbol
_atom_site_fract_x
_atom_site_fract_y
_atom_site_fract_z
La1 La 0.000 0.500 0.262
La2 La 0.000 0.000 0.500
La3 La 0.000 0.500 0.738
La4 La 0.000 0.000 0.000
Hg1 Hg 0.500 0.000 0.239
Hg2 Hg 0.500 0.000 0.761
Hg3 Hg 0.500 0.500 0.500
Er1 Er 0.500 0.500 0.000
```

Properties
DOS(E_F)   11.3 states/eV per cell
Symmetry   Pmmm, No. 47
ΔE_f   -329 meV per atom